1.
Here is a relaxed CsNp2F9 crystal from Alexandria. Energies are from PBE.

- VASP energy (eV/atom) = -6.92
- uncorrected formation energy (kJ per mole of atoms) = -318

Cell lengths 7.847, 7.847, 3.623 Å; angles 90.00, 90.00, 120.00 degrees
Positions (direct):
Cs (0.000, 0.000, 0.000)
Np (0.333, 0.667, 0.000)
Np (0.667, 0.333, 0.000)
F (0.000, 0.500, 0.000)
F (0.222, 0.445, 0.500)
F (0.222, 0.778, 0.500)
F (0.445, 0.222, 0.500)
F (0.500, 0.000, 0.000)
F (0.500, 0.500, 0.000)
F (0.555, 0.778, 0.500)
F (0.778, 0.222, 0.500)
F (0.778, 0.555, 0.500)


2.
Here is a relaxed CsNp2F7 crystal from Alexandria. Energies are from PBE.

- VASP energy (eV/atom) = -7.29
- uncorrected formation energy (kJ per mole of atoms) = -319

Cell lengths 7.175, 7.175, 4.619 Å; angles 90.00, 90.00, 118.13 degrees
Positions (direct):
Cs (0.000, 0.000, 0.000)
Np (0.312, 0.688, 0.500)
Np (0.688, 0.312, 0.500)
F (0.037, 0.335, 0.500)
F (0.306, 0.694, 0.000)
F (0.335, 0.037, 0.500)
F (0.500, 0.500, 0.500)
F (0.665, 0.963, 0.500)
F (0.694, 0.306, 0.000)
F (0.963, 0.665, 0.500)


3.
Here is a relaxed Cs5Np2F12 crystal from Alexandria. Energies are from PBE.

- VASP energy (eV/atom) = -5.88
- uncorrected formation energy (kJ per mole of atoms) = -300
- E above lowest polymorph (eV/f.u.) = 0.000

Cell lengths 8.294, 8.294, 7.553 Å; angles 104.69, 104.69, 60.18 degrees
Positions (direct):
Cs (0.000, 0.000, 0.000)
Cs (0.245, 0.245, 0.438)
Cs (0.330, 0.330, 0.958)
Cs (0.670, 0.670, 0.042)
Cs (0.755, 0.755, 0.562)
Np (0.251, 0.749, 0.500)
Np (0.749, 0.251, 0.500)
F (0.040, 0.040, 0.379)
F (0.057, 0.652, 0.277)
F (0.199, 0.612, 0.697)
F (0.348, 0.943, 0.723)
F (0.388, 0.801, 0.303)
F (0.433, 0.433, 0.351)
F (0.567, 0.567, 0.649)
F (0.612, 0.199, 0.697)
F (0.652, 0.057, 0.277)
F (0.801, 0.388, 0.303)
F (0.943, 0.348, 0.723)
F (0.960, 0.960, 0.621)